Entry from Alexandria via LeMat-Bulk: an optimized crystal structure of Ru4Pt3Rh12 (PBE-GGA).

Computed properties:
- E_form: 0.78 eV/atom

The structure in POSCAR format:
```
Ru4Pt3Rh12
1.0
-4.610 4.610 4.610
4.610 -4.610 4.610
4.610 4.610 -4.610
Ru Pt Rh
4 3 12
Cartesian
2.305 2.305 -2.305 Ru
2.305 -2.305 2.305 Ru
-2.305 2.305 2.305 Ru
2.305 2.305 2.305 Ru
4.610 0.000 0.000 Pt
0.000 4.610 0.000 Pt
0.000 0.000 4.610 Pt
4.610 2.199 -1.323 Rh
3.287 0.000 2.411 Rh
5.933 0.000 2.411 Rh
2.411 3.287 0.000 Rh
2.199 -1.323 4.610 Rh
4.610 2.199 1.323 Rh
0.000 2.411 3.287 Rh
2.411 5.933 0.000 Rh
2.199 1.323 4.610 Rh
-1.323 4.610 2.199 Rh
1.323 4.610 2.199 Rh
0.000 2.411 5.933 Rh
```

***

Entry from Alexandria via LeMat-Bulk: an optimized crystal structure of Ru2Pt5Rh4 (PBE-GGA).

Computed properties:
- E_form: 0.39 eV/atom

The structure in POSCAR format:
```
Ru2Pt5Rh4
1.0
-1.958 4.014 5.755
1.958 -4.014 5.755
1.958 4.014 -5.755
Ru Pt Rh
2 5 4
Cartesian
0.000 0.000 1.855 Ru
0.000 0.000 9.656 Ru
1.958 0.000 0.000 Pt
1.958 -1.280 3.280 Pt
1.958 1.280 3.280 Pt
0.000 2.734 2.475 Pt
0.000 5.295 2.475 Pt
0.000 1.920 0.000 Rh
0.000 0.000 4.542 Rh
0.000 0.000 6.969 Rh
0.000 6.109 0.000 Rh
```

***

Entry from Alexandria via LeMat-Bulk: an optimized crystal structure of RuPt2Rh9 (PBE-GGA).

Computed properties:
- E_form: -0.02 eV/atom

The structure in POSCAR format:
```
RuPt2Rh9
1.0
3.855 0.000 0.000
0.000 3.855 0.000
0.000 0.000 11.605
Ru Pt Rh
1 2 9
Cartesian
0.000 0.000 0.000 Ru
0.000 0.000 3.873 Pt
0.000 0.000 7.732 Pt
0.000 1.928 1.885 Rh
0.000 1.928 5.803 Rh
0.000 1.928 9.720 Rh
1.928 0.000 1.885 Rh
1.928 0.000 5.803 Rh
1.928 0.000 9.720 Rh
1.928 1.928 0.000 Rh
1.928 1.928 3.838 Rh
1.928 1.928 7.767 Rh
```

***

Entry from Alexandria via LeMat-Bulk: an optimized crystal structure of Ru9Pt11Rh4 (PBE-GGA).

Computed properties:
- E_form: 0.13 eV/atom

The structure in POSCAR format:
```
Ru9Pt11Rh4
1.0
6.431 -10.124 0.000
6.431 10.124 0.000
0.000 0.000 2.760
Ru Pt Rh
9 11 4
Cartesian
0.000 0.000 0.000 Ru
5.085 5.776 0.000 Ru
5.075 1.904 0.000 Ru
7.777 5.776 0.000 Ru
5.075 -1.904 0.000 Ru
7.788 1.904 0.000 Ru
5.085 -5.776 0.000 Ru
7.788 -1.904 0.000 Ru
7.777 -5.776 0.000 Ru
3.671 3.783 1.380 Pt
6.431 7.742 1.380 Pt
3.689 0.000 1.380 Pt
6.431 3.843 1.380 Pt
3.671 -3.783 1.380 Pt
6.431 0.000 1.380 Pt
9.192 3.783 1.380 Pt
6.431 -3.843 1.380 Pt
9.173 0.000 1.380 Pt
6.431 -7.742 1.380 Pt
9.192 -3.783 1.380 Pt
2.230 1.766 0.000 Rh
2.230 -1.766 0.000 Rh
10.633 1.766 0.000 Rh
10.633 -1.766 0.000 Rh
```

***

Entry from Alexandria via LeMat-Bulk: an optimized crystal structure of RuPt3Rh6 (PBE-GGA).

Computed properties:
- E_form: 0.33 eV/atom

The structure in POSCAR format:
```
RuPt3Rh6
1.0
5.094 0.000 0.000
-2.547 4.412 0.000
0.000 0.000 6.918
Ru Pt Rh
1 3 6
Cartesian
0.000 0.000 0.000 Ru
0.000 0.000 3.459 Pt
0.000 2.941 3.459 Pt
2.547 1.471 3.459 Pt
-1.050 1.819 5.635 Rh
-1.497 2.593 1.283 Rh
2.100 0.000 5.635 Rh
1.050 1.819 1.283 Rh
2.994 0.000 1.283 Rh
1.497 2.593 5.635 Rh
```

***

Entry from Alexandria via LeMat-Bulk: an optimized crystal structure of Ru2PtRh (PBE-GGA).

Computed properties:
- E_form: 0.05 eV/atom

The structure in POSCAR format:
```
Ru2PtRh
1.0
2.717 0.000 0.000
0.000 3.902 0.000
0.000 0.000 5.424
Ru Pt Rh
2 1 1
Cartesian
0.000 0.000 1.322 Ru
0.000 0.000 4.102 Ru
1.359 1.951 2.712 Pt
1.359 1.951 0.000 Rh
```

***

| no. | N(E_F) (states/eV/f.u.) |
| --- | --- |
| 1 | 31.9 |
| 2 | 15.8 |
| 3 | 14.1 |
| 4 | 38.2 |
| 5 | 17.6 |
| 6 | 5.3 |